# NaRuN2F

An optimized crystal structure of NaRuN2F (GGA-PBE, Alexandria via LeMat-Bulk).

The structure in POSCAR format:
```
NaRuN2F
1.0
4.0592 0.0000 0.0000
0.0000 4.0592 0.0000
0.0000 0.0000 3.7059
Na Ru N F
1 1 2 1
Direct
0.0000 0.0000 0.0000 Na
0.5000 0.5000 0.5000 Ru
0.0000 0.5000 0.0000 N
0.5000 0.0000 0.0000 N
0.0000 0.0000 0.5000 F
```

* SG: P4/mmm, No. 123
* spin magnetization: 0.195 μB per formula unit
* formation energy (no corrections): 1.9762 eV per atom
* E_tot: -19.2 eV/cell

=====

# TlGeAs2O8

An optimized crystal structure of TlGeAs2O8 (GGA-PBE, Alexandria via LeMat-Bulk).

The structure in POSCAR format:
```
TlGeAs2O8
1.0
2.4608 1.4207 8.6034
-2.4608 1.4207 8.6034
0.0000 -2.8415 8.6034
Tl Ge As O
1 1 2 8
Direct
0.0000 0.0000 0.0000 Tl
0.5000 0.5000 0.5000 Ge
0.2351 0.2351 0.2351 As
0.7649 0.7649 0.7649 As
0.1399 0.4767 0.7384 O
0.2616 0.5233 0.8601 O
0.3015 0.3015 0.3015 O
0.4767 0.7384 0.1399 O
0.5233 0.8601 0.2616 O
0.6985 0.6985 0.6985 O
0.7384 0.1399 0.4767 O
0.8601 0.2616 0.5233 O
```

* SG: R32, No. 155
* spin magnetization: 1.039 μB per formula unit
* formation energy (no corrections): -1.0287 eV per atom
* E_tot: -68.3 eV/cell

=====

# BaVMo2Pb

An optimized crystal structure of BaVMo2Pb (GGA-PBE, Alexandria via LeMat-Bulk).

The structure in POSCAR format:
```
BaVMo2Pb
1.0
5.1629 0.0000 0.0000
0.0000 5.1629 0.0000
0.0000 0.0000 6.0416
Ba V Mo Pb
1 1 2 1
Direct
0.0000 0.0000 0.0000 Ba
0.5000 0.5000 0.0000 V
0.0000 0.5000 0.5000 Mo
0.5000 0.0000 0.5000 Mo
0.0000 0.0000 0.5000 Pb
```

* SG: P4/mmm, No. 123
* ΔH_f (0 K): 240.3 kJ/mol of atoms
* spin magnetization: 1.136 μB per formula unit
* E_tot: -24.0 eV/cell